(1)
Pm3PrDy6Er2 after structural relaxation, computed with GGA-PBE.

The calculation puts the formation energy at 0.016 eV/atom. The calculation puts the total energy at -4.631 eV/atom.

The structure belongs to space group C2/m (No. 12); the cell edges are 6.198, 10.729 and 11.844 Å and the angles 90.00°, 100.01° and 90.00°. The inequivalent atoms are Pm at (0.000, 0.000, 0.000), Pm at (0.000, 0.333, 0.000), Pr at (0.000, 0.500, 0.500), Dy at (0.249, 0.000, 0.748), Dy at (0.250, 0.167, 0.252) and Er at (0.000, 0.167, 0.500).

=====

(2)
Pm2PrDy4Er after structural relaxation, computed with GGA-PBE.

The calculation puts the formation energy at 0.414 eV/atom. The calculation puts the total energy at -4.242 eV/atom.

The structure belongs to space group C2/c (No. 15); the cell edges are 13.672, 13.280 and 6.828 Å and the angles 90.00°, 119.95° and 90.00°. The inequivalent atoms are Pm at (0.000, 0.000, 0.000), Pm at (0.250, 0.250, 0.000), Pr at (0.250, 0.250, 0.500), Dy at (0.000, 0.255, 0.501), Dy at (0.246, 0.500, 0.494) and Er at (0.000, 0.500, 0.000).

=====

(3)
PmPrDy2Er after structural relaxation, computed with GGA-PBE.

The calculation puts the formation energy at 0.383 eV/atom. The calculation puts the total energy at -4.277 eV/atom.

The structure belongs to space group Cmcm (No. 63); the cell edges are 8.438, 11.573 and 7.180 Å and the angles 90.00°, 90.00° and 90.00°. The inequivalent atoms are Pm at (0.000, 0.001, 0.250), Pr at (0.000, 0.270, 0.250), Dy at (0.187, 0.500, 0.000) and Er at (0.000, 0.279, 0.750).

=====

(4)
PmPrDyEr3 after structural relaxation, computed with GGA-PBE.

The calculation puts the formation energy at 0.114 eV/atom. The calculation puts the total energy at -4.523 eV/atom.

The structure belongs to space group Cmcm (No. 63); the cell edges are 5.880, 11.234 and 11.770 Å and the angles 90.00°, 90.00° and 90.00°. The inequivalent atoms are Pm at (0.000, 0.003, 0.250), Pr at (0.000, 0.500, 0.000), Dy at (0.000, 0.326, 0.250), Er at (0.000, 0.172, 0.502) and Er at (0.000, 0.328, 0.750).

=====

(5)
PmPrDy3Er after structural relaxation, computed with GGA-PBE.

The calculation puts the formation energy at 0.115 eV/atom. The calculation puts the total energy at -4.535 eV/atom.

The structure belongs to space group Cmcm (No. 63); the cell edges are 5.921, 11.177 and 11.848 Å and the angles 90.00°, 90.00° and 90.00°. The inequivalent atoms are Pm at (0.000, 0.002, 0.250), Pr at (0.000, 0.500, 0.000), Dy at (0.000, 0.172, 0.502), Dy at (0.000, 0.326, 0.250) and Er at (0.000, 0.329, 0.750).

=====

(6)
Pm5PrDy2Er after structural relaxation, computed with GGA-PBE.

The calculation puts the formation energy at 0.150 eV/atom. The calculation puts the total energy at -4.550 eV/atom.

The structure belongs to space group Cmc2_1 (No. 36); the cell edges are 5.699, 20.273 and 10.640 Å and the angles 90.00°, 90.00° and 90.00°. The inequivalent atoms are Pm at (0.000, 0.017, 0.000), Pm at (0.000, 0.280, 0.293), Pm at (0.000, 0.297, 0.687), Pm at (0.000, 0.385, 0.001), Pm at (0.000, 0.480, 0.720), Pr at (0.000, 0.413, 0.433), Dy at (0.000, 0.114, 0.713), Dy at (0.000, 0.116, 0.297) and Er at (0.000, 0.199, 0.991).

=====

(7)
Pm3Pr6Dy2Er after structural relaxation, computed with GGA-PBE.

The calculation puts the formation energy at 0.013 eV/atom. The calculation puts the total energy at -4.712 eV/atom.

The structure belongs to space group C2/m (No. 12); the cell edges are 6.345, 10.994 and 12.015 Å and the angles 90.00°, 100.13° and 90.00°. The inequivalent atoms are Pm at (0.000, 0.000, 0.000), Pm at (0.000, 0.333, 0.000), Pr at (0.249, 0.333, 0.746), Pr at (0.250, 0.000, 0.747), Dy at (0.000, 0.167, 0.500) and Er at (0.000, 0.500, 0.500).

=====

(8)
Pm3PrDyEr after structural relaxation, computed with GGA-PBE.

The calculation puts the formation energy at 0.022 eV/atom. The calculation puts the total energy at -4.678 eV/atom.

The structure belongs to space group P2_1/m (No. 11); the cell edges are 8.077, 5.132 and 10.239 Å and the angles 90.00°, 108.56° and 90.00°. The inequivalent atoms are Pm at (0.170, 0.250, 0.042), Pm at (0.170, 0.250, 0.543), Pm at (0.170, 0.750, 0.792), Pr at (0.169, 0.750, 0.292), Dy at (0.499, 0.250, 0.875) and Er at (0.500, 0.250, 0.375).

=====

(9)
PmPrDyEr2 after structural relaxation, computed with GGA-PBE.

The calculation puts the formation energy at 0.374 eV/atom. The calculation puts the total energy at -4.277 eV/atom.

The structure belongs to space group Cmcm (No. 63); the cell edges are 8.418, 11.549 and 7.173 Å and the angles 90.00°, 90.00° and 90.00°. The inequivalent atoms are Pm at (0.000, 0.001, 0.250), Pr at (0.000, 0.270, 0.750), Dy at (0.000, 0.280, 0.250) and Er at (0.187, 0.500, 0.000).

=====

(10)
PmPr2DyEr2 after structural relaxation, computed with GGA-PBE.

The calculation puts the formation energy at 0.070 eV/atom. The calculation puts the total energy at -4.603 eV/atom.

The structure belongs to space group Pmma (No. 51); the cell edges are 7.030, 5.705 and 9.903 Å and the angles 90.00°, 90.00° and 90.00°. The inequivalent atoms are Pm at (0.000, 0.000, 0.000), Pr at (0.000, 0.500, 0.500), Pr at (0.250, 0.000, 0.329), Dy at (0.250, 0.500, 0.836), Er at (0.250, 0.000, 0.666) and Er at (0.250, 0.500, 0.166).